No. 1
VASP calculation (GGA-PBE) on a relaxed ZnTeWN2 crystal.

a = 3.903 Å, b = 3.903 Å, c = 5.269 Å
α = 90.00°, β = 90.00°, γ = 90.00°
Space group P4/mmm (No. 123)
Inequivalent atoms, fractional coordinates:
Zn 0.000 0.000 0.000
Te 0.000 0.000 0.500
W 0.500 0.500 0.500
N 0.000 0.500 0.000

Relative energy among the computed polymorphs   1814 meV per atom
Magnetic moment   0.00 μB/f.u.
Energy relative to the elements, uncorrected   2.139 eV/atom


No. 2
VASP calculation (GGA-PBE) on a relaxed Er3ZrAg3Se8 crystal.

a = 14.060 Å, b = 8.140 Å, c = 8.147 Å
α = 90.00°, β = 125.24°, γ = 90.00°
Space group C2/m (No. 12)
Inequivalent atoms, fractional coordinates:
Er 0.000 0.000 0.000
Er 0.250 0.250 0.500
Zr 0.000 0.500 0.000
Ag 0.000 0.500 0.500
Ag 0.250 0.250 0.000
Se 0.002 0.259 0.238
Se 0.239 0.500 0.245
Se 0.248 0.000 0.253

Magnetic moment   0.00 μB/f.u.
Energy relative to the elements, uncorrected   -1.180 eV/atom


No. 3
VASP calculation (GGA-PBE) on a relaxed KBa2Mo crystal.

a = 9.415 Å, b = 9.415 Å, c = 8.586 Å
α = 90.00°, β = 90.00°, γ = 90.00°
Space group I-42d (No. 122)
Inequivalent atoms, fractional coordinates:
K 0.000 0.000 0.000
Ba 0.109 0.250 0.625
Mo 0.000 0.000 0.500

Relative energy among the computed polymorphs   338 meV per atom
Calculated formation energy   1.124 eV per atom
Magnetic moment   0.00 μB/f.u.


No. 4
VASP calculation (GGA-PBE) on a relaxed GdPaReRh crystal.

a = 6.914 Å, b = 6.914 Å, c = 6.914 Å
α = 90.00°, β = 90.00°, γ = 90.00°
Space group F-43m (No. 216)
Inequivalent atoms, fractional coordinates:
Gd 0.000 0.000 0.000
Pa 0.000 0.000 0.500
Re 0.250 0.250 0.250
Rh 0.250 0.250 0.750

Calculated formation energy   -0.261 eV per atom
Magnetic moment   7.01 μB/f.u.


Calculated raw total energy in order - -23.3, -76.4, -11.3, -44.4 eV/f.u.